No. 1
An optimized crystal structure of Cs4La3SnTe8, computed with GGA-PBE.

```
Cs4La3SnTe8
1.0
9.479 0.000 0.000
0.000 10.441 0.670
-4.740 -4.740 6.707
Te La Cs Sn
8 3 4 1
Cartesian
7.173 3.059 0.437
0.000 5.075 3.500
2.307 3.059 0.437
4.740 5.075 3.585
2.433 2.643 6.940
4.740 0.626 3.877
-2.433 2.643 6.940
0.000 0.626 3.792
4.740 5.220 0.335
2.370 2.851 3.689
-2.370 2.851 3.689
4.740 0.000 0.000
-2.370 -2.370 3.354
0.000 0.000 0.000
2.370 -2.370 3.354
0.000 5.220 0.335
```

Properties
**Symmetry**: R-3m
**E_form (uncorrected)**: -1.2442 eV/atom

---

No. 2
An optimized crystal structure of CsPa2MnS8, computed with GGA-PBE.

```
CsPa2MnS8
1.0
5.986 0.000 0.000
-2.993 5.184 0.000
0.000 0.000 9.801
S Mn Cs Pa
8 1 1 2
Cartesian
4.421 0.903 8.427
2.993 3.377 8.427
0.000 1.807 1.374
-1.428 4.280 1.374
1.565 0.903 8.427
2.993 1.728 3.485
0.000 3.456 6.316
1.428 4.280 1.374
0.000 0.000 0.000
0.000 0.000 4.900
0.000 3.456 8.733
2.993 1.728 1.068
```

Properties
**Symmetry**: P-3m1
**E_form (uncorrected)**: -1.0788 eV/atom

---

No. 3
An optimized crystal structure of Sr2DyH4, computed with GGA-PBE.

```
Sr2DyH4
1.0
4.321 0.000 0.000
0.000 4.321 0.000
2.160 2.160 6.679
H Sr Dy
4 2 1
Cartesian
2.160 0.000 0.000
2.160 2.160 4.453
4.321 4.321 2.226
0.000 2.160 0.000
2.160 2.160 1.969
4.321 4.321 4.710
0.000 0.000 0.000
```

Properties
**Symmetry**: I4/mmm
**Calculated total energy**: -3.36 eV/atom

---

No. 4
An optimized crystal structure of TaInNiSe3, computed with GGA-PBE.

```
TaInNiSe3
1.0
-0.898 2.557 2.388
0.958 -5.440 6.187
8.364 5.477 -2.719
Ni Se In Ta
2 6 2 2
Cartesian
4.945 3.498 -0.520
3.479 -0.904 6.375
0.695 0.105 4.248
1.627 -2.215 7.083
7.728 2.490 1.607
4.215 -1.076 4.105
6.796 4.810 -1.228
4.209 3.671 1.751
5.866 2.098 4.058
2.557 0.496 1.797
2.010 -2.244 4.526
6.413 4.839 1.329
```

Properties
**Symmetry**: P2_1/m
**E_form (uncorrected)**: -0.5569 eV/atom